[1]
This record from Alexandria describes crystalline TiCr2S5 at its relaxed geometry. The functional is PBE.

Cell: 4.414 6.615 6.521 Å, 83.52 70.22 70.51°
Each line ends with the local moment (μB).
Fractional positions:
S (0.547, 0.735, 0.171)  -0.11
Cr (0.190, 0.500, 0.119)  1.47
S (0.000, 0.500, 0.500)  -0.05
Ti (0.500, 0.500, 0.500)  0.36
S (0.782, 0.265, 0.171)  -0.11
Cr (0.810, 0.500, 0.881)  1.47
S (0.453, 0.265, 0.829)  -0.11
S (0.218, 0.735, 0.829)  -0.11

Values from the calculation:
Volume   168.88 Å³/cell
E_form (uncorrected)   -0.451 eV/atom
SG   Fmmm

[2]
This record from Alexandria describes crystalline TmCo4 at its relaxed geometry. The functional is PBE.

Cell: 5.456 5.563 5.563 Å, 121.24 90.00 90.00°
Each line ends with the local moment (μB).
Fractional positions:
Co (0.000, 0.250, 0.250)  1.54
Co (0.750, 0.366, 0.634)  1.49
Co (0.250, 0.634, 0.366)  1.49
Tm (0.250, 0.250, 0.750)  -0.29
Co (0.500, 0.750, 0.750)  1.54
Co (0.500, 0.250, 0.250)  1.54
Co (0.750, 0.134, 0.866)  1.49
Co (0.000, 0.750, 0.750)  1.54
Co (0.250, 0.866, 0.134)  1.49
Tm (0.750, 0.750, 0.250)  -0.29

Values from the calculation:
Volume   144.35 Å³/cell
Formation energy   -0.094 eV/atom
SG   I4/mmm

[3]
This record from Alexandria describes crystalline NbGaTc2N at its relaxed geometry. The functional is PBE.

Cell: 4.755 5.215 4.755 Å, 90.00 90.00 90.00°
Each line ends with the local moment (μB).
Fractional positions:
N (0.500, 0.500, 0.500)  1.45
Nb (0.000, 0.000, 0.000)  -0.34
Tc (0.500, 0.000, 0.000)  1.91
Tc (0.000, 0.000, 0.500)  1.64
Ga (0.000, 0.500, 0.000)  -0.02

Values from the calculation:
Volume   117.92 Å³/cell
E_form (uncorrected)   2.501 eV/atom
SG   P4/mmm

[4]
This record from Alexandria describes crystalline KMgO3 at its relaxed geometry. The functional is PBE.

Cell: 4.036 4.036 4.036 Å, 90.00 90.00 90.00°
Each line ends with the local moment (μB).
Fractional positions:
O (0.000, 0.500, 0.000)  0.88
O (0.500, 0.000, 0.000)  0.78
K (0.500, 0.500, 0.500)  0.00
Mg (0.000, 0.000, 0.000)  -0.01
O (0.000, 0.000, 0.500)  0.83

Values from the calculation:
Volume   65.75 Å³/cell
E_form (uncorrected)   -1.019 eV/atom
SG   Pm-3m

[5]
This record from Alexandria describes crystalline Y4Tl3S8 at its relaxed geometry. The functional is PBE.

Cell: 8.041 8.166 8.166 Å, 89.76 118.98 118.98°
Fractional positions:
Tl (0.500, 0.500, 0.000)
Y (0.000, 0.500, 0.000)
S (0.000, 0.241, 0.759)
S (0.500, 0.763, 0.237)
Tl (0.500, 0.000, 0.500)
S (0.026, 0.771, 0.771)
S (0.500, 0.237, 0.763)
S (0.000, 0.759, 0.241)
Tl (0.500, 0.500, 0.500)
Y (0.000, 0.000, 0.000)
Y (0.500, 0.000, 0.000)
S (0.974, 0.229, 0.229)
S (0.536, 0.784, 0.784)
S (0.464, 0.216, 0.216)
Y (0.000, 0.000, 0.500)

Values from the calculation:
Volume   391.27 Å³/cell
E_form (uncorrected)   -1.367 eV/atom
SG   C2/m

[6]
This record from Alexandria describes crystalline SrSb2Ru2 at its relaxed geometry. The functional is PBE.

Cell: 7.991 7.991 3.224 Å, 90.00 90.00 90.00°
Fractional positions:
Ru (0.369, 0.869, 0.000)
Sr (0.500, 0.500, 0.000)
Ru (0.131, 0.369, 0.000)
Sr (0.000, 0.000, 0.000)
Sb (0.154, 0.654, 0.500)
Sb (0.846, 0.346, 0.500)
Sb (0.346, 0.154, 0.500)
Ru (0.631, 0.131, 0.000)
Sb (0.654, 0.846, 0.500)
Ru (0.869, 0.631, 0.000)

Values from the calculation:
Volume   205.83 Å³/cell
E_form (uncorrected)   -0.068 eV/atom
SG   P4/mbm

What did the sixth record say?
This record from Alexandria describes crystalline SrSb2Ru2 at its relaxed geometry. The functional is PBE.

Cell: 7.991 7.991 3.224 Å, 90.00 90.00 90.00°
Fractional positions:
Ru (0.369, 0.869, 0.000)
Sr (0.500, 0.500, 0.000)
Ru (0.131, 0.369, 0.000)
Sr (0.000, 0.000, 0.000)
Sb (0.154, 0.654, 0.500)
Sb (0.846, 0.346, 0.500)
Sb (0.346, 0.154, 0.500)
Ru (0.631, 0.131, 0.000)
Sb (0.654, 0.846, 0.500)
Ru (0.869, 0.631, 0.000)

Values from the calculation:
Volume   205.83 Å³/cell
E_form (uncorrected)   -0.068 eV/atom
SG   P4/mbm

- Among the records above, which one has the highest volume?
  Y4Tl3S8

What did the second record say?
This record from Alexandria describes crystalline TmCo4 at its relaxed geometry. The functional is PBE.

Cell: 5.456 5.563 5.563 Å, 121.24 90.00 90.00°
Each line ends with the local moment (μB).
Fractional positions:
Co (0.000, 0.250, 0.250)  1.54
Co (0.750, 0.366, 0.634)  1.49
Co (0.250, 0.634, 0.366)  1.49
Tm (0.250, 0.250, 0.750)  -0.29
Co (0.500, 0.750, 0.750)  1.54
Co (0.500, 0.250, 0.250)  1.54
Co (0.750, 0.134, 0.866)  1.49
Co (0.000, 0.750, 0.750)  1.54
Co (0.250, 0.866, 0.134)  1.49
Tm (0.750, 0.750, 0.250)  -0.29

Values from the calculation:
Volume   144.35 Å³/cell
Formation energy   -0.094 eV/atom
SG   I4/mmm